#P
VASP calculation (PBE) on TmZrTlRh after structural relaxation.

Output
**Total magnetic moment**: 0.00 μB/atom

Lattice parameters (Å, degrees): 4.956 4.956 4.956 60.00 60.00 60.00
Sites, in units of the cell vectors:
Tm  0.000  0.000  0.000
Zr  0.500  0.500  0.500
Tl  0.750  0.750  0.750
Rh  0.250  0.250  0.250


#Q
VASP calculation (PBE) on TmZrTlRh after structural relaxation.

Output
**Total magnetic moment**: 0.00 μB/atom

Lattice parameters (Å, degrees): 3.353 3.353 7.735 90.00 90.00 90.00
Sites, in units of the cell vectors:
Tm  0.000  0.000  0.000
Zr  0.000  0.000  0.572
Tl  0.500  0.500  0.297
Rh  0.500  0.500  0.773


#Q (0.168 eV/atom below the next structure)


#P
VASP calculation (PBE) on Tl2VRh after structural relaxation.

Output
**Total magnetic moment**: 0.67 μB/atom

Lattice parameters (Å, degrees): 4.738 4.738 4.738 60.00 60.00 60.00
Sites, in units of the cell vectors:
Tl  0.250  0.250  0.250
Tl  0.750  0.750  0.750
V  0.000  0.000  0.000
Rh  0.500  0.500  0.500


#Q
VASP calculation (PBE) on Tl2VRh after structural relaxation.

Output
**Total magnetic moment**: 0.69 μB/atom

Lattice parameters (Å, degrees): 6.141 6.141 6.141 103.09 103.09 123.16
Sites, in units of the cell vectors:
Tl  0.110  0.125  0.485
Tl  0.375  0.890  0.015
Tl  0.640  0.625  0.515
Tl  0.875  0.360  0.985
V  0.250  0.750  0.500
V  0.500  0.500  0.000
Rh  0.000  0.000  0.000
Rh  0.750  0.250  0.500


#P (0.325 eV/atom below the next structure)


#P
VASP calculation (PBE) on TlVRh3 after structural relaxation.

Output
**Total magnetic moment**: 0.00 μB/atom

Lattice parameters (Å, degrees): 4.553 4.553 4.553 90.00 90.00 90.00
Sites, in units of the cell vectors:
Tl  0.000  0.000  0.000
V  0.500  0.500  0.500
Rh  0.000  0.500  0.500
Rh  0.500  0.000  0.500
Rh  0.500  0.500  0.000


#Q
VASP calculation (PBE) on TlVRh3 after structural relaxation.

Output
**Total magnetic moment**: 0.27 μB/atom

Lattice parameters (Å, degrees): 4.910 4.910 4.910 90.00 90.00 90.00
Sites, in units of the cell vectors:
Tl  0.000  0.000  0.000
V  0.500  0.500  0.500
Rh  0.000  0.000  0.500
Rh  0.000  0.500  0.000
Rh  0.500  0.000  0.000


#P (1.172 eV/atom below the next structure)


#P
VASP calculation (PBE) on TlV2Rh after structural relaxation.

Output
**Total magnetic moment**: 1.12 μB/atom

Lattice parameters (Å, degrees): 4.540 4.540 4.540 60.00 60.00 60.00
Sites, in units of the cell vectors:
Tl  0.000  0.000  0.000
V  0.250  0.250  0.250
V  0.750  0.750  0.750
Rh  0.500  0.500  0.500


#Q
VASP calculation (PBE) on TlV2Rh after structural relaxation.

Output
**Total magnetic moment**: 0.00 μB/atom

Lattice parameters (Å, degrees): 5.770 5.770 5.770 102.45 102.45 124.66
Sites, in units of the cell vectors:
Tl  0.000  0.000  0.000
Tl  0.750  0.250  0.500
V  0.171  0.625  0.046
V  0.375  0.421  0.546
V  0.579  0.125  0.954
V  0.875  0.829  0.454
Rh  0.250  0.750  0.500
Rh  0.500  0.500  0.000


#P (0.170 eV/atom below the next structure)


#P
VASP calculation (PBE) on Tl2RhW after structural relaxation.

Output
**Total magnetic moment**: 0.47 μB/atom

Lattice parameters (Å, degrees): 4.759 4.759 4.759 60.00 60.00 60.00
Sites, in units of the cell vectors:
Tl  0.250  0.250  0.250
Tl  0.750  0.750  0.750
Rh  0.000  0.000  0.000
W  0.500  0.500  0.500


#Q
VASP calculation (PBE) on Tl2RhW after structural relaxation.

Output
**Total magnetic moment**: 0.00 μB/atom

Lattice parameters (Å, degrees): 10.105 10.105 10.105 17.41 17.41 17.41
Sites, in units of the cell vectors:
Tl  0.000  0.000  0.000
Tl  0.233  0.233  0.233
Rh  0.748  0.748  0.748
W  0.481  0.481  0.481


#Q (0.420 eV/atom below the next structure)


#P
VASP calculation (PBE) on TlZnRh after structural relaxation.

Output
**Total magnetic moment**: 0.00 μB/atom

Lattice parameters (Å, degrees): 5.376 5.376 5.376 145.87 141.86 52.10
Sites, in units of the cell vectors:
Tl  0.000  0.000  0.000
Zn  0.699  0.699  0.000
Rh  0.310  0.310  0.000


#Q
VASP calculation (PBE) on TlZnRh after structural relaxation.

Output
**Total magnetic moment**: 0.00 μB/atom

Lattice parameters (Å, degrees): 4.419 4.419 4.419 60.00 60.00 60.00
Sites, in units of the cell vectors:
Tl  0.000  0.000  0.000
Zn  0.500  0.500  0.500
Rh  0.750  0.750  0.750


#P (0.060 eV/atom below the next structure)


#P
VASP calculation (PBE) on ZrTlRh3 after structural relaxation.

Output
**Total magnetic moment**: 0.00 μB/atom

Lattice parameters (Å, degrees): 4.840 4.840 4.840 90.00 90.00 90.00
Sites, in units of the cell vectors:
Zr  0.000  0.000  0.000
Tl  0.500  0.500  0.500
Rh  0.000  0.000  0.500
Rh  0.000  0.500  0.000
Rh  0.500  0.000  0.000


#Q
VASP calculation (PBE) on ZrTlRh3 after structural relaxation.

Output
**Total magnetic moment**: 0.00 μB/atom

Lattice parameters (Å, degrees): 4.851 4.851 4.851 90.00 90.00 90.00
Sites, in units of the cell vectors:
Zr  0.000  0.000  0.000
Tl  0.500  0.500  0.500
Rh  0.000  0.500  0.500
Rh  0.500  0.000  0.500
Rh  0.500  0.500  0.000


#P (0.435 eV/atom below the next structure)


#P
VASP calculation (PBE) on TmRh4 after structural relaxation.

Output
**Total magnetic moment**: 0.61 μB/atom

Lattice parameters (Å, degrees): 4.754 4.754 4.754 90.00 90.00 90.00
Sites, in units of the cell vectors:
Tm  0.000  0.000  0.000
Rh  0.000  0.000  0.500
Rh  0.000  0.500  0.000
Rh  0.500  0.000  0.000
Rh  0.500  0.500  0.500


#Q
VASP calculation (PBE) on TmRh4 after structural relaxation.

Output
**Total magnetic moment**: 0.00 μB/atom

Lattice parameters (Å, degrees): 7.695 7.695 7.695 109.47 109.47 109.47
Sites, in units of the cell vectors:
Tm  0.000  0.000  0.444
Tm  0.000  0.444  0.000
Tm  0.444  0.000  0.000
Tm  0.556  0.556  0.556
Rh  0.000  0.000  0.792
Rh  0.000  0.353  0.353
Rh  0.000  0.647  0.647
Rh  0.000  0.792  0.000
Rh  0.208  0.208  0.208
Rh  0.250  0.500  0.750
Rh  0.250  0.750  0.500
Rh  0.353  0.000  0.353
Rh  0.353  0.353  0.000
Rh  0.500  0.250  0.750
Rh  0.500  0.750  0.250
Rh  0.647  0.000  0.647
Rh  0.647  0.647  0.000
Rh  0.750  0.250  0.500
Rh  0.750  0.500  0.250
Rh  0.792  0.000  0.000


#R
VASP calculation (PBE) on TmRh4 after structural relaxation.

Output
**Total magnetic moment**: 0.00 μB/atom

Lattice parameters (Å, degrees): 6.569 6.569 6.569 146.19 146.19 48.57
Sites, in units of the cell vectors:
Tm  0.000  0.000  0.000
Rh  0.250  0.750  0.500
Rh  0.399  0.399  0.000
Rh  0.601  0.601  0.000
Rh  0.750  0.250  0.500


#Q (0.014 eV/atom below the next structure)


#P
VASP calculation (PBE) on Tm3Rh2 after structural relaxation.

Output
**Total magnetic moment**: 0.00 μB/atom

Lattice parameters (Å, degrees): 4.712 4.712 5.959 90.29 90.29 59.48
Sites, in units of the cell vectors:
Tm  0.000  0.000  0.000
Tm  0.334  0.334  0.335
Tm  0.666  0.666  0.665
Rh  0.333  0.333  0.833
Rh  0.667  0.667  0.167


#Q
VASP calculation (PBE) on Tm3Rh2 after structural relaxation.

Output
**Total magnetic moment**: 0.00 μB/atom

Lattice parameters (Å, degrees): 5.869 5.869 9.900 90.00 90.00 137.78
Sites, in units of the cell vectors:
Tm  0.092  0.908  0.750
Tm  0.353  0.647  0.566
Tm  0.353  0.647  0.934
Tm  0.647  0.353  0.066
Tm  0.647  0.353  0.434
Tm  0.908  0.092  0.250
Rh  0.000  0.000  0.000
Rh  0.000  0.000  0.500
Rh  0.181  0.819  0.250
Rh  0.819  0.181  0.750


#P (0.036 eV/atom below the next structure)


#P
VASP calculation (PBE) on YTm2Rh2 after structural relaxation.

Output
**Total magnetic moment**: 0.00 μB/atom

Lattice parameters (Å, degrees): 8.577 8.577 7.282 90.00 90.00 153.92
Sites, in units of the cell vectors:
Y  0.124  0.876  0.500
Y  0.876  0.124  0.000
Tm  0.313  0.687  0.386
Tm  0.469  0.531  0.669
Tm  0.531  0.469  0.169
Tm  0.687  0.313  0.886
Rh  0.053  0.947  0.870
Rh  0.302  0.698  0.777
Rh  0.698  0.302  0.277
Rh  0.947  0.053  0.370


#Q
VASP calculation (PBE) on YTm2Rh2 after structural relaxation.

Output
**Total magnetic moment**: 0.00 μB/atom

Lattice parameters (Å, degrees): 4.772 4.772 5.894 90.00 90.00 120.00
Sites, in units of the cell vectors:
Y  0.000  0.000  0.000
Tm  0.333  0.667  0.336
Tm  0.667  0.333  0.664
Rh  0.333  0.667  0.830
Rh  0.667  0.333  0.170


#Q (0.098 eV/atom below the next structure)


#P
VASP calculation (PBE) on YTm2Rh after structural relaxation.

Output
**Total magnetic moment**: 0.12 μB/atom

Lattice parameters (Å, degrees): 9.673 9.673 9.673 22.04 22.04 22.04
Sites, in units of the cell vectors:
Y  0.000  0.000  0.000
Tm  0.226  0.226  0.226
Tm  0.774  0.774  0.774
Rh  0.500  0.500  0.500


#Q
VASP calculation (PBE) on YTm2Rh after structural relaxation.

Output
**Total magnetic moment**: 0.00 μB/atom

Lattice parameters (Å, degrees): 7.143 9.283 6.284 90.00 90.00 90.00
Sites, in units of the cell vectors:
Y  0.033  0.250  0.131
Y  0.467  0.750  0.631
Y  0.533  0.250  0.369
Y  0.967  0.750  0.869
Tm  0.177  0.063  0.671
Tm  0.177  0.437  0.671
Tm  0.323  0.563  0.171
Tm  0.323  0.937  0.171
Tm  0.677  0.063  0.829
Tm  0.677  0.437  0.829
Tm  0.823  0.563  0.329
Tm  0.823  0.937  0.329
Rh  0.115  0.750  0.441
Rh  0.385  0.250  0.941
Rh  0.615  0.750  0.059
Rh  0.885  0.250  0.559


#Q (0.209 eV/atom below the next structure)


#P
VASP calculation (PBE) on Tm4ZnRh after structural relaxation.

Output
**Total magnetic moment**: 0.00 μB/atom

Lattice parameters (Å, degrees): 9.340 9.340 9.340 60.00 60.00 60.00
Sites, in units of the cell vectors:
Tm  0.059  0.059  0.441
Tm  0.059  0.441  0.059
Tm  0.059  0.441  0.441
Tm  0.185  0.605  0.605
Tm  0.186  0.186  0.814
Tm  0.186  0.814  0.186
Tm  0.186  0.814  0.814
Tm  0.441  0.059  0.059
Tm  0.441  0.059  0.441
Tm  0.441  0.441  0.059
Tm  0.605  0.185  0.605
Tm  0.605  0.605  0.185
Tm  0.605  0.605  0.605
Tm  0.814  0.186  0.186
Tm  0.814  0.186  0.814
Tm  0.814  0.814  0.186
Zn  0.513  0.829  0.829
Zn  0.829  0.513  0.829
Zn  0.829  0.829  0.513
Zn  0.829  0.829  0.829
Rh  0.394  0.394  0.394
Rh  0.394  0.394  0.817
Rh  0.394  0.817  0.394
Rh  0.817  0.394  0.394


#Q
VASP calculation (PBE) on Tm4ZnRh after structural relaxation.

Output
**Total magnetic moment**: 0.00 μB/atom

Lattice parameters (Å, degrees): 4.808 4.808 6.808 90.07 90.07 90.00
Sites, in units of the cell vectors:
Tm  0.000  0.500  0.242
Tm  0.000  0.500  0.758
Tm  0.500  0.000  0.242
Tm  0.500  0.000  0.758
Zn  0.000  0.000  0.500
Rh  0.500  0.500  0.000


#P (0.193 eV/atom below the next structure)